Computed, not measured: Li4SiAu after structural relaxation at the PBE-GGA level of DFT.

abc: 5.121 4.410 8.032
angles: 90.00 108.40 90.00
Sites, in units of the cell vectors:
Li  0.038  0.250  0.084
Li  0.198  0.250  0.416
Li  0.282  0.750  0.585
Li  0.455  0.750  0.916
Li  0.545  0.250  0.084
Li  0.718  0.250  0.415
Li  0.802  0.750  0.584
Li  0.962  0.750  0.916
Si  0.128  0.250  0.758
Si  0.872  0.750  0.242
Au  0.380  0.750  0.259
Au  0.620  0.250  0.741

Values from the calculation:
Volume, Å³/cell: 172
Total magnetization, Bohr magnetons per cell: 0.0
Formation energy from raw total energies, eV per atom: -0.38
Symmetry: P2_1/m, No. 11
D(E_F), states/eV per atom: 0.2024

Computed, not measured: Rb2ZrSnF6 after structural relaxation at the PBE-GGA level of DFT.

abc: 7.633 7.633 7.633
angles: 130.31 130.31 72.91
Sites, in units of the cell vectors:
Rb  0.250  0.750  0.500
Rb  0.750  0.250  0.500
Zr  0.000  0.000  0.000
Sn  0.500  0.500  0.000
F  0.167  0.167  0.000
F  0.225  0.225  0.450
F  0.225  0.775  0.000
F  0.775  0.225  0.000
F  0.775  0.775  0.550
F  0.833  0.833  0.000

Values from the calculation:
Volume, Å³/cell: 253
Total magnetization, Bohr magnetons per cell: 0.0
Formation energy from raw total energies, eV per atom: -2.70
Symmetry: I4/mmm, No. 139
D(E_F), states/eV per atom: 0.0000